1.
Computed, not measured: a relaxed structure of YCd2In at the GGA-PBEsol level of DFT.

Structure (POSCAR):
```
YCd2In
1.0
4.4684 0.0000 0.0000
0.0000 4.4684 0.0000
0.0000 0.0000 4.5707
Y Cd In
1 2 1
Direct
0.0000 0.0000 0.0000
0.0000 0.5000 0.5000
0.5000 0.0000 0.5000
0.5000 0.5000 0.0000
```

The energy of formation from the pure elements comes out at -148 kJ/mol of formula units.


2.
Computed, not measured: a relaxed structure of Sr2ZnSb at the GGA-PBEsol level of DFT.

Structure (POSCAR):
```
Sr2ZnSb
1.0
7.8657 0.0000 0.0000
0.0000 7.8657 0.0000
0.0000 0.0000 7.8657
Sr Zn Sb
8 4 4
Direct
0.0000 0.0000 0.0000
0.0000 0.5000 0.5000
0.2500 0.2500 0.2500
0.2500 0.7500 0.7500
0.5000 0.0000 0.5000
0.5000 0.5000 0.0000
0.7500 0.2500 0.7500
0.7500 0.7500 0.2500
0.0000 0.0000 0.5000
0.0000 0.5000 0.0000
0.5000 0.0000 0.0000
0.5000 0.5000 0.5000
0.2500 0.2500 0.7500
0.2500 0.7500 0.2500
0.7500 0.2500 0.2500
0.7500 0.7500 0.7500
```

The energy above the lowest structure with this stoichiometry is 497.9 meV/atom.


3.
Computed, not measured: a relaxed structure of CuSeI2 at the GGA-PBEsol level of DFT.

Structure (POSCAR):
```
CuSeI2
1.0
7.1226 0.0000 0.0000
0.0000 3.7764 0.0000
-3.1704 0.0000 8.3281
Cu Se I
2 2 4
Direct
0.0000 0.0000 0.0000
0.5000 0.5000 0.0000
0.3725 0.0000 0.1073
0.8725 0.5000 0.1073
0.4238 0.0000 0.7758
0.4425 0.0000 0.4135
0.9238 0.5000 0.7758
0.9425 0.5000 0.4135
```


4.
Computed, not measured: a relaxed structure of DyClO at the GGA-PBEsol level of DFT.

Structure (POSCAR):
```
DyClO
1.0
1.8816 1.0863 9.5980
-1.8816 1.0863 9.5980
0.0000 -2.1727 9.5980
Dy Cl O
2 2 2
Direct
0.2158 0.2158 0.2158
0.7842 0.7842 0.7842
0.3914 0.3914 0.3914
0.6086 0.6086 0.6086
0.1375 0.1375 0.1375
0.8625 0.8625 0.8625
```


5.
Computed, not measured: a relaxed structure of Co2SbRh at the GGA-PBEsol level of DFT.

Structure (POSCAR):
```
Co2SbRh
1.0
3.1983 0.0000 0.0000
0.0000 3.1983 0.0000
0.0000 0.0000 5.2385
Co Sb Rh
2 1 1
Direct
0.0000 0.0000 0.2347
0.0000 0.0000 0.7653
0.5000 0.5000 0.5000
0.5000 0.5000 0.0000
```


6.
Computed, not measured: a relaxed structure of BaLiCu at the GGA-PBEsol level of DFT.

Structure (POSCAR):
```
BaLiCu
1.0
4.5614 0.0000 0.0000
-2.2807 3.9503 0.0000
0.0000 0.0000 4.5289
Ba Li Cu
1 1 1
Direct
0.0000 0.0000 0.0000
0.6667 0.3333 0.5000
0.3333 0.6667 0.5000
```

The energy of formation from the pure elements comes out at 29 kJ/mol of formula units.


7.
Computed, not measured: a relaxed structure of Li2MnAsC at the GGA-PBEsol level of DFT.

Structure (POSCAR):
```
Li2MnAsC
1.0
4.5113 0.0000 0.0000
0.0000 4.5113 0.0000
0.0000 0.0000 4.6273
Li Mn As C
2 1 1 1
Direct
0.0000 0.5000 0.0000
0.5000 0.0000 0.0000
0.0000 0.0000 0.5000
0.0000 0.0000 0.0000
0.5000 0.5000 0.5000
```

The energy of formation from the pure elements comes out at 613 kJ/mol of formula units.


8.
Computed, not measured: a relaxed structure of Ca2AgRu at the GGA-PBEsol level of DFT.

Structure (POSCAR):
```
Ca2AgRu
1.0
3.2866 0.0000 0.0000
0.0000 5.0608 0.0000
0.0000 0.0000 5.0672
Ca Ag Ru
2 1 1
Direct
0.0000 0.0000 0.0000
0.0000 0.5000 0.4845
0.5000 0.0000 0.5067
0.5000 0.5000 0.9799
```

The energy of formation from the pure elements comes out at 74 kJ/mol of formula units.


9.
Computed, not measured: a relaxed structure of CeCr2Si2C at the GGA-PBEsol level of DFT.

Structure (POSCAR):
```
CeCr2Si2C
1.0
3.9416 0.0000 0.0000
0.0000 3.9416 0.0000
0.0000 0.0000 5.2046
Ce Cr Si C
1 2 2 1
Direct
0.0000 0.0000 0.0000
0.0000 0.5000 0.5000
0.5000 0.0000 0.5000
0.5000 0.5000 0.2296
0.5000 0.5000 0.7704
0.0000 0.0000 0.5000
```


10.
Computed, not measured: a relaxed structure of IrAu2SeI at the GGA-PBEsol level of DFT.

Structure (POSCAR):
```
IrAu2SeI
1.0
5.0925 0.0000 0.0000
0.0000 5.0925 0.0000
0.0000 0.0000 4.9097
Ir Au Se I
1 2 1 1
Direct
0.0000 0.0000 0.0000
0.0000 0.5000 0.5000
0.5000 0.0000 0.5000
0.5000 0.5000 0.0000
0.0000 0.0000 0.5000
```


11.
Computed, not measured: a relaxed structure of Ba2HgP at the GGA-PBEsol level of DFT.

Structure (POSCAR):
```
Ba2HgP
1.0
4.6038 0.0000 0.0000
-2.3019 3.9870 0.0000
0.0000 0.0000 24.7487
Ba Hg P
6 3 3
Direct
0.0000 0.0000 0.2352
0.0000 0.0000 0.7648
0.3333 0.6667 0.4314
0.3333 0.6667 0.9019
0.6667 0.3333 0.0981
0.6667 0.3333 0.5686
0.0000 0.0000 0.0000
0.3333 0.6667 0.6667
0.6667 0.3333 0.3333
0.0000 0.0000 0.5000
0.3333 0.6667 0.1667
0.6667 0.3333 0.8333
```

The energy above the lowest structure with this stoichiometry is 56.8 meV/atom. The energy of formation from the pure elements comes out at -272 kJ/mol of formula units.


12.
Computed, not measured: a relaxed structure of UMoC2 at the GGA-PBEsol level of DFT.

Structure (POSCAR):
```
UMoC2
1.0
5.5792 0.0000 0.0000
0.0000 3.1699 0.0000
0.0000 0.0000 10.9925
U Mo C
4 4 8
Direct
0.0798 0.2500 0.1420
0.4202 0.7500 0.6420
0.5798 0.2500 0.3580
0.9202 0.7500 0.8580
0.0781 0.7500 0.3987
0.4219 0.2500 0.8987
0.5781 0.7500 0.1013
0.9219 0.2500 0.6013
0.1643 0.2500 0.7552
0.2504 0.2500 0.4928
0.2496 0.7500 0.9928
0.3357 0.7500 0.2552
0.6643 0.2500 0.7448
0.7504 0.2500 0.0072
0.7496 0.7500 0.5072
0.8357 0.7500 0.2448
```

The energy of formation from the pure elements comes out at -140 kJ/mol of formula units.


For each record above, in turn, the calculated DOS at the Fermi energy values are 0.68, 0.60, 0.55, 0.00, 1.33, 0.42, 0.35, 0.93, 0.76, 0.96, 0.66, 0.61 states/eV per atom.
For each record above, in turn, the calculated calculated total energy values are -0.252, -0.192, -0.219, -0.532, -0.502, -0.200, -0.325, -0.312, -0.631, -0.227, -0.248, -0.821 Ry per atom.